1.
Here is a geometry-optimized ScMoCl structure from the Alexandria database. Energies are from GGA-PBEsol.

Summary:
The calculated density is 5.67 g/cm3. For the total energy, the calculation gives -6.31 eV/atom. As for the volume: 17.22 A^3/atom. The formation energy without anion corrections is 0.48 eV per atom. Its space-group type is F-43m.

Structure (extended XYZ):
```
3
Lattice="0.000 2.956 2.956 2.956 0.000 2.956 2.956 2.956 0.000" Properties=species:S:1:pos:R:3 pbc="T T T"
Sc 0.000 0.000 0.000
Mo 2.956 2.956 2.956
Cl 4.434 4.434 4.434
```



2.
Here is a geometry-optimized ScMo3Cl structure from the Alexandria database. Energies are from GGA-PBEsol.

Summary:
The calculated density is 6.14 g/cm3. For the total energy, the calculation gives -6.39 eV/atom. As for the volume: 19.91 A^3/atom. The formation energy without anion corrections is 2.39 eV per atom. Its space-group type is Pm-3m.

Structure (extended XYZ):
```
5
Lattice="4.635 0.000 0.000 0.000 4.635 0.000 0.000 0.000 4.635" Properties=species:S:1:pos:R:3 pbc="T T T"
Sc 0.000 0.000 0.000
Mo 0.000 0.000 2.317
Mo 0.000 2.317 0.000
Mo 2.317 0.000 0.000
Cl 2.317 2.317 2.317
```



3.
Here is a geometry-optimized MoSe2Cl structure from the Alexandria database. Energies are from GGA-PBEsol.

Summary:
The calculated density is 6.48 g/cm3. As for the excess energy over the best structure of this formula in the dataset: 0.000 eV per atom. For the total energy, the calculation gives -5.72 eV/atom. As for the volume: 18.54 A^3/atom. The formation energy without anion corrections is -0.35 eV per atom. Its space-group type is R-3m.

Structure (extended XYZ):
```
4
Lattice="1.650 0.952 7.865 -1.650 0.952 7.865 0.000 -1.905 7.865" Properties=species:S:1:pos:R:3 pbc="T T T"
Mo 0.000 0.000 0.000
Se 0.000 0.000 6.178
Se 0.000 0.000 17.418
Cl 0.000 0.000 11.798
```



4.
Here is a geometry-optimized MoSe2Cl structure from the Alexandria database. Energies are from GGA-PBEsol.

Summary:
The calculated density is 5.61 g/cm3. As for the excess energy over the best structure of this formula in the dataset: 0.223 eV per atom. For the total energy, the calculation gives -5.50 eV/atom. As for the volume: 21.41 A^3/atom. The formation energy without anion corrections is -0.13 eV per atom. Its space-group type is Imm2.

Structure (extended XYZ):
```
4
Lattice="-1.562 2.236 6.129 1.562 -2.236 6.129 1.562 2.236 -6.129" Properties=species:S:1:pos:R:3 pbc="T T T"
Mo 0.000 0.000 0.000
Se 1.562 0.000 1.949
Se 0.000 0.000 6.531
Cl 0.000 2.236 4.188
```



5.
Here is a geometry-optimized MoSe4Cl structure from the Alexandria database. Energies are from GGA-PBEsol.

Summary:
The calculated density is 6.19 g/cm3. For the total energy, the calculation gives -4.11 eV/atom. As for the volume: 20.00 A^3/atom. The formation energy without anion corrections is 0.75 eV per atom. Its space-group type is F-43m.

Structure (extended XYZ):
```
6
Lattice="0.000 3.915 3.915 3.915 0.000 3.915 3.915 3.915 0.000" Properties=species:S:1:pos:R:3 pbc="T T T"
Mo 0.000 0.000 0.000
Se 2.935 2.935 2.935
Se 4.895 4.895 2.935
Se 4.895 2.935 4.895
Se 2.935 4.895 4.895
Cl 5.872 5.872 5.872
```



6.
Here is a geometry-optimized MoSe2Cl structure from the Alexandria database. Energies are from GGA-PBEsol.

Summary:
The calculated density is 6.06 g/cm3. As for the excess energy over the best structure of this formula in the dataset: 0.442 eV per atom. For the total energy, the calculation gives -5.28 eV/atom. As for the volume: 19.83 A^3/atom. The formation energy without anion corrections is 0.09 eV per atom. Its space-group type is P4mm.

Structure (extended XYZ):
```
4
Lattice="3.345 0.000 0.000 0.000 3.345 0.000 0.000 0.000 7.087" Properties=species:S:1:pos:R:3 pbc="T T T"
Mo 0.000 0.000 0.000
Se 0.000 0.000 2.539
Se 1.673 1.673 1.123
Cl 1.673 1.673 5.362
```



7.
Here is a geometry-optimized MoSe2Cl12 structure from the Alexandria database. Energies are from GGA-PBEsol.

Summary:
The calculated density is 2.84 g/cm3. For the total energy, the calculation gives -3.42 eV/atom. As for the volume: 26.45 A^3/atom. The formation energy without anion corrections is -0.51 eV per atom. Its space-group type is Fdd2.

Structure (extended XYZ):
```
30
Lattice="0.000 6.300 10.645 5.916 0.000 10.645 5.916 6.300 0.000" Properties=species:S:1:pos:R:3 pbc="T T T"
Mo 0.000 0.000 0.000
Mo 2.958 3.150 5.323
Se 8.835 6.026 7.135
Se 5.877 3.423 12.457
Se 2.998 6.573 7.135
Se 5.956 9.176 12.457
Cl 7.570 5.305 5.489
Cl 7.285 1.935 10.698
Cl 4.550 1.002 9.029
Cl 4.324 4.152 3.706
Cl 7.535 5.290 8.764
Cl 1.592 2.148 3.706
Cl 10.515 7.291 12.343
Cl 4.276 4.141 7.021
Cl 7.557 8.458 7.021
Cl 7.335 5.062 12.370
Cl 4.612 4.145 10.812
Cl 4.262 7.295 5.489
Cl 7.506 5.085 16.020
Cl 7.220 8.454 10.812
Cl 4.577 4.160 14.087
Cl 4.298 7.310 8.764
Cl 7.256 8.440 14.087
Cl 1.366 5.298 9.029
Cl 4.498 7.537 12.370
Cl 10.293 10.687 17.692
Cl 7.456 8.212 17.692
Cl 7.234 11.608 12.343
Cl 4.547 10.665 10.698
Cl 4.327 7.515 16.020
```



8.
Here is a geometry-optimized SiMoCl structure from the Alexandria database. Energies are from GGA-PBEsol.

Summary:
The calculated density is 5.35 g/cm3. For the total energy, the calculation gives -5.28 eV/atom. As for the volume: 16.49 A^3/atom. The formation energy without anion corrections is 1.23 eV per atom. Its space-group type is F-43m.

Structure (extended XYZ):
```
3
Lattice="0.000 2.914 2.914 2.914 0.000 2.914 2.914 2.914 0.000" Properties=species:S:1:pos:R:3 pbc="T T T"
Si 0.000 0.000 0.000
Mo 2.914 2.914 2.914
Cl 4.370 4.370 4.370
```



9.
Here is a geometry-optimized Si4MoCl structure from the Alexandria database. Energies are from GGA-PBEsol.

Summary:
The calculated density is 4.59 g/cm3. For the total energy, the calculation gives -5.64 eV/atom. As for the volume: 14.69 A^3/atom. The formation energy without anion corrections is 0.48 eV per atom. Its space-group type is F-43m.

Structure (extended XYZ):
```
6
Lattice="0.000 3.532 3.532 3.532 0.000 3.532 3.532 3.532 0.000" Properties=species:S:1:pos:R:3 pbc="T T T"
Si 2.658 2.658 2.658
Si 4.407 4.407 2.658
Si 4.407 2.658 4.407
Si 2.658 4.407 4.407
Mo 0.000 0.000 0.000
Cl 5.299 5.299 5.299
```



10.
Here is a geometry-optimized Si2MoCl structure from the Alexandria database. Energies are from GGA-PBEsol.

Summary:
The calculated density is 5.33 g/cm3. For the total energy, the calculation gives -5.97 eV/atom. As for the volume: 14.62 A^3/atom. The formation energy without anion corrections is 0.35 eV per atom. Its space-group type is Cmmm.

Structure (extended XYZ):
```
4
Lattice="2.727 -3.790 0.000 2.727 3.790 0.000 0.000 0.000 2.829" Properties=species:S:1:pos:R:3 pbc="T T T"
Si 1.363 1.895 0.000
Si 1.363 -1.895 0.000
Mo 0.000 0.000 1.415
Cl 2.727 0.000 1.415
```



11.
Here is a geometry-optimized SnMoCl2 structure from the Alexandria database. Energies are from GGA-PBEsol.

Summary:
The calculated density is 5.19 g/cm3. For the total energy, the calculation gives -5.28 eV/atom. As for the volume: 22.83 A^3/atom. The formation energy without anion corrections is -0.26 eV per atom. Its space-group type is R-3m.

Structure (extended XYZ):
```
4
Lattice="1.553 0.897 10.932 -1.553 0.897 10.932 0.000 -1.793 10.932" Properties=species:S:1:pos:R:3 pbc="T T T"
Sn 0.000 0.000 0.000
Mo 0.000 0.000 16.399
Cl 0.000 0.000 3.789
Cl 0.000 0.000 29.009
```



12.
Here is a geometry-optimized SrMoCl3 structure from the Alexandria database. Energies are from GGA-PBEsol.

Summary:
The calculated density is 4.24 g/cm3. For the total energy, the calculation gives -4.69 eV/atom. As for the volume: 22.73 A^3/atom. The formation energy without anion corrections is -0.77 eV per atom. Its space-group type is Pm-3m.

Structure (extended XYZ):
```
5
Lattice="4.844 0.000 0.000 0.000 4.844 0.000 0.000 0.000 4.844" Properties=species:S:1:pos:R:3 pbc="T T T"
Sr 0.000 0.000 0.000
Mo 2.422 2.422 2.422
Cl 0.000 2.422 2.422
Cl 2.422 0.000 2.422
Cl 2.422 2.422 0.000
```



13.
Here is a geometry-optimized SrMoCl2 structure from the Alexandria database. Energies are from GGA-PBEsol.

Summary:
The calculated density is 4.96 g/cm3. As for the excess energy over the best structure of this formula in the dataset: 0.000 eV per atom. For the total energy, the calculation gives -4.57 eV/atom. As for the volume: 21.30 A^3/atom. The formation energy without anion corrections is -0.17 eV per atom. Its space-group type is Fm-3m.

Structure (extended XYZ):
```
4
Lattice="0.000 3.492 3.492 3.492 0.000 3.492 3.492 3.492 0.000" Properties=species:S:1:pos:R:3 pbc="T T T"
Sr 0.000 0.000 0.000
Mo 3.492 3.492 3.492
Cl 1.746 1.746 1.746
Cl 5.239 5.239 5.239
```



14.
Here is a geometry-optimized SrMo3Cl structure from the Alexandria database. Energies are from GGA-PBEsol.

Summary:
The calculated density is 6.18 g/cm3. For the total energy, the calculation gives -4.45 eV/atom. As for the volume: 22.07 A^3/atom. The formation energy without anion corrections is 3.38 eV per atom. Its space-group type is Pm-3m.

Structure (extended XYZ):
```
5
Lattice="4.797 0.000 0.000 0.000 4.797 0.000 0.000 0.000 4.797" Properties=species:S:1:pos:R:3 pbc="T T T"
Sr 0.000 0.000 0.000
Mo 0.000 0.000 2.398
Mo 0.000 2.398 0.000
Mo 2.398 0.000 0.000
Cl 2.398 2.398 2.398
```